{"formula": "InSe2N2", "functional": "PBE-GGA", "state": "optimized geometry", "de_polymorph_ev_per_fu": 10.609, "e_form_raw_ev_per_atom": 2.00, "space_group": "P4/mmm", "lattice_angstrom": [[5.488, 0.000, 0.000], [0.000, 5.488, 0.000], [0.000, 0.000, 4.274]], "species": ["N", "N", "Se", "Se", "In"], "fractional_positions": [[0.500, 0.500, 0.500], [0.000, 0.000, 0.500], [0.000, 0.500, 0.000], [0.500, 0.000, 0.000], [0.000, 0.000, 0.000]]}

{"formula": "K3Ag2Cl4", "functional": "PBE-GGA", "state": "optimized geometry", "e_form_raw_ev_per_atom": -1.17, "space_group": "C2/c", "lattice_angstrom": [[-6.027, 0.548, -4.442], [-4.853, -5.617, 4.933], [-4.709, 4.612, 6.000]], "species": ["K", "K", "K", "K", "K", "K", "Ag", "Ag", "Ag", "Ag", "Cl", "Cl", "Cl", "Cl", "Cl", "Cl", "Cl", "Cl"], "fractional_positions": [[0.871, 0.039, 0.246], [0.629, 0.754, 0.961], [0.129, 0.961, 0.754], [0.371, 0.246, 0.039], [0.250, 0.605, 0.395], [0.750, 0.395, 0.605], [0.452, 0.158, 0.468], [0.048, 0.532, 0.842], [0.548, 0.842, 0.532], [0.952, 0.468, 0.158], [0.492, 0.891, 0.227], [0.008, 0.773, 0.109], [0.508, 0.109, 0.773], [0.992, 0.227, 0.891], [0.090, 0.258, 0.414], [0.410, 0.586, 0.742], [0.910, 0.742, 0.586], [0.590, 0.414, 0.258]]}

{"formula": "SrIn6Ag", "functional": "PBE-GGA", "state": "optimized geometry", "formation_enthalpy_0k_ev_per_atom": -0.1657, "space_group": "P4/mmm", "lattice_angstrom": [[4.992, 0.000, 0.000], [0.000, 4.992, 0.000], [0.000, 0.000, 9.035]], "species": ["Sr", "In", "In", "In", "In", "In", "In", "Ag"], "fractional_positions": [[0.000, 0.000, 0.000], [0.500, 0.000, 0.669], [0.000, 0.500, 0.669], [0.500, 0.500, 0.154], [0.500, 0.500, 0.846], [0.000, 0.500, 0.331], [0.500, 0.000, 0.331], [0.000, 0.000, 0.500]]}

{"formula": "SbTe2OsAu", "functional": "PBE-GGA", "state": "optimized geometry", "de_polymorph_ev_per_fu": 0.000, "e_form_raw_ev_per_atom": 0.82, "space_group": "P4/mmm", "lattice_angstrom": [[5.292, 0.000, 0.000], [0.000, 5.292, 0.000], [0.000, 0.000, 5.052]], "species": ["Os", "Te", "Te", "Au", "Sb"], "fractional_positions": [[0.000, 0.000, 0.000], [0.000, 0.500, 0.000], [0.500, 0.000, 0.000], [0.500, 0.500, 0.500], [0.000, 0.000, 0.500]]}

no.,DFT total energy (eV for the cell shown),ρ (kg/m³)
1,-16.35,3880
2,-53.73,2814
3,-22.29,6522
4,-20.84,8971